Crystalline CrSbI2F at its relaxed geometry, computed with PBE with a Hubbard U.

Lattice parameters (Å, degrees): 5.3931 5.3931 5.4108 90.00 90.00 90.00
Each line ends with the local moment (μB).
Atoms (fractional coordinates):
1 I 0.0000 0.5000 0.0000  0.04
2 I 0.5000 0.0000 0.0000  0.04
3 Sb 0.0000 0.0000 0.5000  0.33
4 F 0.5000 0.5000 0.5000  -0.08
5 Cr 0.0000 0.0000 0.0000  -3.71

Calculated values
* SG: No. 123
* total moment: 3.17 μB per formula unit
* offset from the most stable computed form: 23.8 kJ/mol of atoms
* VASP energy: -16.2 eV per formula unit